VASP calculation (GGA+U) on an optimized crystal structure of Ba2HWO6.

Unit cell a=5.706 b=6.141 c=6.252 alpha=62.33 beta=63.32 gamma=63.90
Space group P1 (No. 1)
Unique sites:
Ba1 0.000 0.000 0.000 (multiplicity 1)
Ba2 0.479 0.528 0.543 (multiplicity 1)
H1 0.613 0.967 0.590 (multiplicity 1)
W1 0.253 0.252 0.281 (multiplicity 1)
O1 0.024 0.441 0.532 (multiplicity 1)
O2 0.096 0.496 0.031 (multiplicity 1)
O3 0.405 0.979 0.154 (multiplicity 1)
O4 0.443 0.960 0.593 (multiplicity 1)
O5 0.553 0.366 0.169 (multiplicity 1)
O6 0.940 0.107 0.544 (multiplicity 1)

V ... 16.58 Å³/atom
Magnetization ... 1.1 μB per formula unit
Raw total energy ... -65.6 eV per cell